# 1
Here is a relaxed structure of TmPuSc2 from Alexandria via LeMat-Bulk. Energies are from GGA-PBE.

Lattice parameters (Å, degrees): 7.4926 7.4926 7.4926 90.00 90.00 90.00
Space group Fm-3m (No. 225)
Asymmetric unit:
Tm (0.0000, 0.0000, 0.0000) [4 per cell]
Pu (0.0000, 0.0000, 0.5000) [4 per cell]
Sc (0.2500, 0.2500, 0.2500) [8 per cell]

Calculated values
Crystal system: cubic
Calculated total energy (eV/atom): -7.7331
Excess energy over the best structure of this formula in the dataset (eV/atom): 0.0547


# 2
Here is a relaxed structure of MgCdGaPb from Alexandria via LeMat-Bulk. Energies are from GGA-PBE.

Lattice parameters (Å, degrees): 7.2836 7.2836 7.2836 90.00 90.00 90.00
Space group F-43m (No. 216)
Asymmetric unit:
Mg (0.0000, 0.0000, 0.0000) [4 per cell]
Cd (0.0000, 0.0000, 0.5000) [4 per cell]
Ga (0.2500, 0.2500, 0.7500) [4 per cell]
Pb (0.2500, 0.2500, 0.2500) [4 per cell]

Calculated values
Crystal system: cubic
Calculated total energy (eV/atom): -2.2706


Computed values of total moment (unit: μB per atom) for the preceding records, in sequence: 1.438, 0.000.
Computed values of calculated formation energy (unit: eV/atom) for the preceding records, in sequence: 0.134, 0.041.
Computed values of calculated volume (unit: A^3/atom) for the preceding records, in sequence: 26.29, 24.15.